(1)
{"formula": "Na3HS2O8", "functional": "SCAN", "state": "single point on PBEsol structure", "dos_ef_per_ev_atom": 0.0000, "total_energy_ev_per_atom": -7.9583, "lattice": [[8.660, -0.001, 0.000], [-2.908, 8.647, 0.000], [0.000, 0.000, 9.668]], "species": ["Na", "Na", "Na", "Na", "Na", "Na", "Na", "Na", "Na", "Na", "Na", "Na", "H", "H", "H", "H", "S", "S", "S", "S", "S", "S", "S", "S", "O", "O", "O", "O", "O", "O", "O", "O", "O", "O", "O", "O", "O", "O", "O", "O", "O", "O", "O", "O", "O", "O", "O", "O", "O", "O", "O", "O", "O", "O", "O", "O"], "fractional_positions": [[0.000, 0.500, 0.500], [0.000, 0.000, 0.000], [0.500, 0.500, 0.000], [0.500, 0.000, 0.500], [0.883, 0.628, 0.843], [0.117, 0.872, 0.343], [0.117, 0.372, 0.157], [0.883, 0.128, 0.657], [0.758, 0.725, 0.505], [0.242, 0.775, 0.005], [0.242, 0.275, 0.495], [0.758, 0.225, 0.995], [0.394, 0.386, 0.737], [0.606, 0.114, 0.237], [0.606, 0.614, 0.263], [0.394, 0.886, 0.763], [0.134, 0.406, 0.820], [0.866, 0.094, 0.320], [0.866, 0.594, 0.180], [0.134, 0.906, 0.680], [0.640, 0.360, 0.691], [0.360, 0.140, 0.191], [0.360, 0.640, 0.309], [0.640, 0.860, 0.809], [0.036, 0.278, 0.910], [0.964, 0.222, 0.410], [0.964, 0.722, 0.090], [0.036, 0.778, 0.590], [0.311, 0.419, 0.836], [0.689, 0.081, 0.336], [0.689, 0.581, 0.164], [0.311, 0.919, 0.664], [0.114, 0.553, 0.864], [0.886, 0.947, 0.364], [0.886, 0.447, 0.136], [0.114, 0.053, 0.636], [0.088, 0.372, 0.673], [0.912, 0.128, 0.173], [0.912, 0.628, 0.327], [0.088, 0.872, 0.827], [0.467, 0.859, 0.850], [0.533, 0.641, 0.350], [0.533, 0.141, 0.150], [0.467, 0.359, 0.650], [0.758, 0.995, 0.876], [0.242, 0.505, 0.376], [0.242, 0.005, 0.124], [0.758, 0.495, 0.624], [0.654, 0.876, 0.657], [0.346, 0.624, 0.157], [0.346, 0.124, 0.343], [0.654, 0.376, 0.843], [0.658, 0.715, 0.859], [0.342, 0.785, 0.359], [0.342, 0.285, 0.141], [0.658, 0.215, 0.641]]}



(2)
{"formula": "CaTi2Ir2", "functional": "SCAN", "state": "single point on PBEsol structure", "e_form_ev_per_atom": -0.90, "dos_ef_per_ev_atom": 0.7732, "lattice": [[4.195, 0.000, 0.000], [0.000, 4.195, 0.000], [-2.097, -2.097, 5.387]], "species": ["Ca", "Ir", "Ir", "Ti", "Ti"], "fractional_positions": [[0.000, 0.000, 0.000], [0.380, 0.380, 0.760], [0.620, 0.620, 0.240], [0.250, 0.750, 0.500], [0.750, 0.250, 0.500]]}



(3)
{"formula": "Y3In", "functional": "SCAN", "state": "single point on PBEsol structure", "e_form_ev_per_atom": -0.37, "dos_ef_per_ev_atom": 0.7315, "lattice": [[-2.063, 0.006, -3.220], [-3.293, -3.502, 2.103], [-0.493, 5.954, 2.598]], "species": ["Y", "Y", "Y", "In"], "fractional_positions": [[0.722, 0.722, 0.445], [0.278, 0.278, 0.555], [0.500, 0.000, 0.000], [0.000, 0.500, 0.000]]}



(4)
{"formula": "BaLaOs2", "functional": "SCAN", "state": "single point on PBEsol structure", "de_polymorph_mev_per_atom": 0, "e_form_ev_per_atom": 0.47, "dos_ef_per_ev_atom": 1.0689, "lattice": [[-0.885, -0.765, 3.238], [3.149, -1.274, 0.560], [2.819, 8.155, 2.698]], "species": ["Ba", "La", "Os", "Os"], "fractional_positions": [[0.000, 0.000, 0.433], [0.500, 0.500, 0.845], [0.000, 0.000, 0.067], [0.500, 0.500, 0.155]]}



(5)
{"formula": "Si2Tc", "functional": "SCAN", "state": "single point on PBEsol structure", "de_polymorph_mev_per_atom": 0, "dos_ef_per_ev_atom": 0.4276, "raw_formation_energy_ev_per_atom": -0.258, "lattice": [[3.132, 0.000, 0.000], [0.000, 4.181, 0.000], [-1.566, 0.000, 5.908]], "species": ["Si", "Si", "Si", "Si", "Tc", "Tc"], "fractional_positions": [[0.767, 0.750, 0.533], [0.432, 0.750, 0.863], [0.233, 0.250, 0.467], [0.568, 0.250, 0.137], [0.098, 0.750, 0.195], [0.902, 0.250, 0.805]]}



(6)
{"formula": "LiSiAg", "functional": "SCAN", "state": "single point on PBEsol structure", "de_polymorph_mev_per_atom": 399, "dos_ef_per_ev_atom": 0.4156, "raw_formation_energy_ev_per_atom": 0.315, "lattice": [[4.044, 0.000, 0.000], [2.022, 3.503, 0.000], [2.022, 1.168, 3.302]], "species": ["Si", "Ag", "Li"], "fractional_positions": [[0.000, 0.000, 0.000], [0.500, 0.500, 0.500], [0.250, 0.250, 0.250]]}